(1)
## NbTl2V (GGA-PBE)

Data for NbTl2V after structural relaxation.

Cell and atoms, written as POSCAR:
```
NbTl2V
1.0
0.0000 3.4281 3.4281
3.4281 0.0000 3.4281
3.4281 3.4281 0.0000
Tl Nb V
2 1 1
direct
0.2500 0.2500 0.2500
0.7500 0.7500 0.7500
0.5000 0.5000 0.5000
0.0000 0.0000 0.0000
```

Results
DFT formation energy (eV/atom): 0.61
Space group: Fm-3m
Total magnetization (μB per formula unit): 1.36
Energy above the most stable polymorph in this dataset (kJ per mole of atoms): 0.0
Total energy (Ha/atom): -0.197

***

(2)
## NdErTm5Sc2 (GGA-PBE)

Data for NdErTm5Sc2 after structural relaxation.

Cell and atoms, written as POSCAR:
```
NdErTm5Sc2
1.0
-0.8588 -0.4775 -5.4535
10.7113 -2.2105 1.3221
-1.9809 -8.9436 1.0950
Tm Nd Er Sc
10 2 2 4
direct
0.6071 0.2142 0.5470
0.9914 0.9829 0.5182
0.4685 0.9370 0.7484
0.5315 0.0630 0.2484
0.3085 0.6171 0.7201
0.2650 0.5301 0.3350
0.7350 0.4699 0.8350
0.6915 0.3829 0.2201
0.0086 0.0171 0.0182
0.3929 0.7858 0.0470
0.8148 0.6295 0.5168
0.1852 0.3705 0.0168
0.5964 0.1928 0.9196
0.4036 0.8072 0.4196
0.8602 0.7204 0.1949
0.1398 0.2796 0.6949
0.1130 0.2260 0.3238
0.8870 0.7740 0.8238
```

Results
DFT formation energy (eV/atom): 0.17
Space group: Cmc2_1
Total magnetization (μB per formula unit): 0.00
Total energy (Ha/atom): -0.175

***

(3)
## TbDy2Th3 (GGA-PBE)

Data for TbDy2Th3 after structural relaxation.

Cell and atoms, written as POSCAR:
```
TbDy2Th3
1.0
-2.5153 2.2905 -1.0869
-3.8980 -7.1097 -5.9625
-6.3891 -3.2612 7.9135
Dy Tb Th
4 2 6
direct
0.2500 0.8675 0.0860
0.2500 0.3740 0.4171
0.7500 0.1325 0.9140
0.7500 0.6260 0.5829
0.2500 0.8772 0.7473
0.7500 0.1228 0.2527
0.2500 0.8750 0.4165
0.7500 0.6256 0.2493
0.2500 0.3744 0.7507
0.7500 0.1250 0.5835
0.7500 0.6208 0.9175
0.2500 0.3792 0.0825
```

Results
DFT formation energy (eV/atom): 0.03
Space group: P2_1/m
Total magnetization (μB per formula unit): 0.00
Total energy (Ha/atom): -0.220

***

(4)
## NaTlAsS4 (GGA-PBE)

Data for NaTlAsS4 after structural relaxation.

Cell and atoms, written as POSCAR:
```
NaTlAsS4
1.0
-0.8883 7.1468 3.0050
-1.6207 0.8521 7.6269
5.4892 2.9363 4.7717
Tl S Na As
2 8 2 2
direct
0.0000 0.0000 0.0000
0.0000 0.5000 0.5000
0.7373 0.7440 0.7814
0.2627 0.7186 0.7560
0.2627 0.2560 0.2186
0.7297 0.2570 0.7570
0.2703 0.7430 0.2430
0.2563 0.2570 0.7570
0.7373 0.2814 0.2440
0.7437 0.7430 0.2430
0.5000 0.0000 0.5000
0.0000 0.0000 0.5000
0.6288 0.6212 0.1212
0.3712 0.3788 0.8788
```

Results
Space group: Imma
Total magnetization (μB per formula unit): 0.00
Total energy (Ha/atom): -0.138

***

(5)
## CsZnSbH2 (GGA-PBE)

Data for CsZnSbH2 after structural relaxation.

Cell and atoms, written as POSCAR:
```
CsZnSbH2
1.0
-3.8496 -0.1194 2.5207
-3.9453 -1.8310 -1.9315
-0.6551 -6.7518 2.8803
Zn H Sb Cs
1 2 1 1
direct
0.6278 0.0316 0.7309
0.7955 0.5812 0.8524
0.7557 0.0049 0.5001
0.9797 0.1503 0.9090
0.4791 0.7190 0.3379
```

Results
Space group: P1
Total magnetization (μB per formula unit): 0.00
Energy above the most stable polymorph in this dataset (kJ per mole of atoms): 6.3
Total energy (Ha/atom): -0.100

***

(6)
## Sr2CaGe (GGA-PBE)

Data for Sr2CaGe after structural relaxation.

Cell and atoms, written as POSCAR:
```
Sr2CaGe
1.0
-1.3055 -10.5909 3.4882
6.0364 2.2816 9.1866
-0.0948 -3.3821 7.7621
Ca Sr Ge
2 4 2
direct
0.2500 0.7500 0.5000
0.5000 0.5000 0.0000
0.8750 0.0141 0.7500
0.3750 0.2359 0.7500
0.9859 0.6250 0.2500
0.7641 0.1250 0.2500
0.0000 0.0000 0.0000
0.7500 0.2500 0.5000
```

Results
DFT formation energy (eV/atom): -0.13
Space group: I-42d
Total magnetization (μB per formula unit): 0.00
Total energy (Ha/atom): -0.096

***

(7)
## NbCuSi2Ru (GGA-PBE)

Data for NbCuSi2Ru after structural relaxation.

Cell and atoms, written as POSCAR:
```
NbCuSi2Ru
1.0
-1.6110 -1.9802 3.3537
-1.7076 -3.4072 -2.8320
3.5877 -2.1669 0.4439
Nb Si Cu Ru
1 2 1 1
direct
0.0000 0.5000 0.0000
0.0000 0.0000 0.5000
0.5000 0.0000 0.0000
0.0000 0.0000 0.0000
0.5000 0.5000 0.5000
```

Results
Space group: P4/mmm
Total magnetization (μB per formula unit): 0.00
Total energy (Ha/atom): -0.216

***

(8)
## Sc2FeHOs (GGA-PBE)

Data for Sc2FeHOs after structural relaxation.

Cell and atoms, written as POSCAR:
```
Sc2FeHOs
1.0
4.4887 0.0000 0.0000
0.0000 4.4887 0.0000
0.0000 0.0000 3.3098
Fe Sc Os H
1 2 1 1
direct
0.0000 0.0000 0.5000
0.0000 0.5000 0.0000
0.5000 0.0000 0.0000
0.5000 0.5000 0.5000
0.0000 0.0000 0.0000
```

Results
Space group: P4/mmm
Total magnetization (μB per formula unit): 0.92
Total energy (Ha/atom): -0.274